A plane-wave DFT calculation with PBE was carried out for a geometry-optimized TmScAgRh structure.

Cell lengths 3.366, 3.366, 7.039 Å; angles 90.00, 90.00, 90.00 degrees
Sites, in units of the cell vectors:
Tm: 0.000 0.000 0.000
Sc: 0.000 0.000 0.545
Ag: 0.500 0.500 0.290
Rh: 0.500 0.500 0.759

Properties
The energy above the lowest structure with this stoichiometry is 0.0 meV/atom. The density of states at the Fermi level is 4.72 states/eV/cell. The calculation puts the total magnetic moment at 0.000 μB/atom. Its crystal system is tetragonal. Its formation enthalpy at 0 K is -2.53 eV per formula unit.

***

A plane-wave DFT calculation with PBE was carried out for a geometry-optimized Y4Hg5Au2 structure.

Cell lengths 7.744, 3.578, 9.876 Å; angles 90.00, 94.96, 90.00 degrees
Sites, in units of the cell vectors:
Y: 0.179 0.000 0.369
Y: 0.242 0.000 0.936
Y: 0.758 0.000 0.064
Y: 0.821 0.000 0.631
Hg: 0.171 0.500 0.645
Hg: 0.459 0.500 0.182
Hg: 0.500 0.500 0.500
Hg: 0.541 0.500 0.818
Hg: 0.829 0.500 0.355
Au: 0.073 0.500 0.137
Au: 0.927 0.500 0.863

Properties
The density of states at the Fermi level is 7.79 states/eV/cell. The calculation puts the total magnetic moment at 0.000 μB/atom. Its crystal system is monoclinic. Its formation enthalpy at 0 K is -5.93 eV per formula unit.

***

A plane-wave DFT calculation with PBE was carried out for a geometry-optimized Ca2AcCd9 structure.

Cell lengths 10.186, 10.186, 10.186 Å; angles 34.95, 34.95, 34.95 degrees
Sites, in units of the cell vectors:
Ca: 0.143 0.143 0.143
Ca: 0.857 0.857 0.857
Ac: 0.000 0.000 0.000
Cd: 0.076 0.590 0.590
Cd: 0.336 0.336 0.336
Cd: 0.410 0.410 0.924
Cd: 0.410 0.924 0.410
Cd: 0.500 0.500 0.500
Cd: 0.590 0.076 0.590
Cd: 0.590 0.590 0.076
Cd: 0.664 0.664 0.664
Cd: 0.924 0.410 0.410

Properties
The density of states at the Fermi level is 7.18 states/eV/cell. The calculation puts the total magnetic moment at 0.000 μB/atom. Its crystal system is trigonal. Its formation enthalpy at 0 K is -3.33 eV per formula unit.

***

A plane-wave DFT calculation with PBE was carried out for a geometry-optimized Ni2HgGe structure.

Cell lengths 4.030, 4.030, 8.839 Å; angles 90.00, 90.00, 120.00 degrees
Sites, in units of the cell vectors:
Ni: 0.000 0.000 0.000
Ni: 0.000 0.000 0.288
Ni: 0.333 0.667 0.422
Ni: 0.667 0.333 0.138
Hg: 0.000 0.000 0.630
Hg: 0.667 0.333 0.832
Ge: 0.333 0.667 0.114
Ge: 0.667 0.333 0.407

Properties
The energy above the lowest structure with this stoichiometry is 9.9 meV/atom. The density of states at the Fermi level is 3.47 states/eV/cell. The calculation puts the total magnetic moment at 0.000 μB/atom. Its crystal system is trigonal. Its formation enthalpy at 0 K is -0.29 eV per formula unit.

***

A plane-wave DFT calculation with PBE was carried out for a geometry-optimized PmGe6Pd12 structure.

Cell lengths 7.236, 7.236, 7.236 Å; angles 105.62, 105.62, 105.62 degrees
Sites, in units of the cell vectors:
Pm: 0.000 0.000 0.000
Ge: 0.256 0.256 0.696
Ge: 0.256 0.696 0.256
Ge: 0.304 0.744 0.744
Ge: 0.696 0.256 0.256
Ge: 0.744 0.304 0.744
Ge: 0.744 0.744 0.304
Pd: 0.123 0.500 0.877
Pd: 0.123 0.877 0.500
Pd: 0.165 0.421 0.421
Pd: 0.421 0.165 0.421
Pd: 0.421 0.421 0.165
Pd: 0.500 0.123 0.877
Pd: 0.500 0.877 0.123
Pd: 0.579 0.579 0.835
Pd: 0.579 0.835 0.579
Pd: 0.835 0.579 0.579
Pd: 0.877 0.123 0.500
Pd: 0.877 0.500 0.123

Properties
The density of states at the Fermi level is 9.45 states/eV/cell. The calculation puts the total magnetic moment at 0.000 μB/atom. Its crystal system is trigonal. Its formation enthalpy at 0 K is -9.41 eV per formula unit.

***

A plane-wave DFT calculation with PBE was carried out for a geometry-optimized NaSm5Te8 structure.

Cell lengths 8.222, 8.222, 8.222 Å; angles 109.62, 109.62, 109.17 degrees
Sites, in units of the cell vectors:
Na: 0.000 0.000 0.000
Sm: 0.117 0.245 0.618
Sm: 0.250 0.750 0.500
Sm: 0.501 0.883 0.128
Sm: 0.627 0.499 0.382
Sm: 0.755 0.373 0.872
Te: 0.029 0.627 0.752
Te: 0.237 0.490 0.106
Te: 0.373 0.125 0.402
Te: 0.384 0.132 0.894
Te: 0.510 0.616 0.747
Te: 0.723 0.971 0.598
Te: 0.868 0.763 0.253
Te: 0.875 0.277 0.248

Properties
The energy above the lowest structure with this stoichiometry is 0.0 meV/atom. The calculation puts the total magnetic moment at 0.000 μB/atom. Its crystal system is tetragonal. The uncorrected formation energy is -1.3827 eV per atom.

***

A plane-wave DFT calculation with PBE was carried out for a geometry-optimized Pr3Nd2In2 structure.

Cell lengths 6.898, 6.898, 8.942 Å; angles 97.55, 97.55, 32.99 degrees
Sites, in units of the cell vectors:
Pr: 0.000 0.000 0.000
Pr: 0.256 0.256 0.835
Pr: 0.744 0.744 0.165
Nd: 0.131 0.131 0.443
Nd: 0.869 0.869 0.557
In: 0.444 0.444 0.277
In: 0.556 0.556 0.723

Properties
The energy above the lowest structure with this stoichiometry is 0.0 meV/atom. The density of states at the Fermi level is 7.83 states/eV/cell. The calculation puts the total magnetic moment at 0.000 μB/atom. Its crystal system is monoclinic. Its formation enthalpy at 0 K is -1.80 eV per formula unit.

***

A plane-wave DFT calculation with PBE was carried out for a geometry-optimized SrAg4Ge4 structure.

Cell lengths 6.503, 6.503, 9.147 Å; angles 90.00, 90.00, 90.00 degrees
Sites, in units of the cell vectors:
Sr: 0.250 0.750 0.250
Sr: 0.750 0.250 0.750
Ag: 0.012 0.250 0.160
Ag: 0.250 0.012 0.660
Ag: 0.250 0.488 0.660
Ag: 0.488 0.250 0.160
Ag: 0.512 0.750 0.840
Ag: 0.750 0.512 0.340
Ag: 0.750 0.988 0.340
Ag: 0.988 0.750 0.840
Ge: 0.053 0.250 0.452
Ge: 0.250 0.053 0.952
Ge: 0.250 0.447 0.952
Ge: 0.447 0.250 0.452
Ge: 0.553 0.750 0.548
Ge: 0.750 0.553 0.048
Ge: 0.750 0.947 0.048
Ge: 0.947 0.750 0.548

Properties
The density of states at the Fermi level is 5.08 states/eV/cell. The calculation puts the total magnetic moment at 0.000 μB/atom. Its crystal system is tetragonal. Its formation enthalpy at 0 K is -0.31 eV per formula unit.

***

A plane-wave DFT calculation with PBE was carried out for a geometry-optimized TmHfZnIn structure.

Cell lengths 4.965, 4.965, 4.965 Å; angles 60.00, 60.00, 60.00 degrees
Sites, in units of the cell vectors:
Tm: 0.000 0.000 0.000
Hf: 0.500 0.500 0.500
Zn: 0.250 0.250 0.250
In: 0.750 0.750 0.750

Properties
The density of states at the Fermi level is 1.81 states/eV/cell. The calculation puts the total magnetic moment at 0.000 μB/atom. Its crystal system is cubic. Its formation enthalpy at 0 K is -0.74 eV per formula unit.

***

A plane-wave DFT calculation with PBE was carried out for a geometry-optimized As2OsSe structure.

Cell lengths 6.729, 6.729, 6.729 Å; angles 125.78, 125.78, 80.25 degrees
Sites, in units of the cell vectors:
As: 0.077 0.625 0.952
As: 0.375 0.327 0.452
As: 0.673 0.125 0.048
As: 0.875 0.923 0.548
Os: 0.000 0.000 0.000
Os: 0.750 0.250 0.500
Se: 0.250 0.750 0.500
Se: 0.500 0.500 0.000

Properties
The energy above the lowest structure with this stoichiometry is 271.9 meV/atom. The density of states at the Fermi level is 0.81 states/eV/cell. The calculation puts the total magnetic moment at 0.000 μB/atom. Its crystal system is tetragonal. The uncorrected formation energy is 0.3696 eV per atom.

***

A plane-wave DFT calculation with PBE was carried out for a geometry-optimized AcTcAgO5 structure.

Cell lengths 6.618, 6.618, 9.062 Å; angles 110.31, 110.31, 91.74 degrees
Sites, in units of the cell vectors:
Ac: 0.000 0.000 0.000
Ac: 0.000 0.000 0.500
Tc: 0.364 0.636 0.750
Tc: 0.636 0.364 0.250
Ag: 0.301 0.699 0.250
Ag: 0.699 0.301 0.750
O: 0.078 0.922 0.250
O: 0.259 0.737 0.913
O: 0.263 0.741 0.587
O: 0.303 0.341 0.659
O: 0.341 0.303 0.159
O: 0.659 0.697 0.841
O: 0.697 0.659 0.341
O: 0.737 0.259 0.413
O: 0.741 0.263 0.087
O: 0.922 0.078 0.750

Properties
The density of states at the Fermi level is 8.58 states/eV/cell. The calculation puts the total magnetic moment at 0.126 μB/atom. Its crystal system is monoclinic. The uncorrected formation energy is -1.7021 eV per atom.

***

A plane-wave DFT calculation with PBE was carried out for a geometry-optimized Tb7Cu2Te2 structure.

Cell lengths 9.429, 9.429, 9.429 Å; angles 155.62, 67.12, 118.56 degrees
Sites, in units of the cell vectors:
Tb: 0.000 0.000 0.000
Tb: 0.285 0.413 0.872
Tb: 0.304 0.618 0.686
Tb: 0.541 0.413 0.128
Tb: 0.618 0.261 0.357
Tb: 0.904 0.261 0.643
Tb: 0.932 0.618 0.314
Cu: 0.159 0.922 0.238
Cu: 0.684 0.922 0.762
Te: 0.261 0.761 0.500
Te: 0.662 0.662 0.000

Properties
The density of states at the Fermi level is 11.74 states/eV/cell. The calculation puts the total magnetic moment at 0.000 μB/atom. Its crystal system is orthorhombic. The uncorrected formation energy is -0.5772 eV per atom.

***

A plane-wave DFT calculation with PBE was carried out for a geometry-optimized Cs3KCl2F6 structure.

Cell lengths 6.692, 6.692, 7.766 Å; angles 90.00, 90.00, 120.00 degrees
Sites, in units of the cell vectors:
Cs: 0.000 0.000 0.000
Cs: 0.333 0.667 0.627
Cs: 0.667 0.333 0.373
K: 0.000 0.000 0.500
Cl: 0.333 0.667 0.100
Cl: 0.667 0.333 0.900
F: 0.175 0.350 0.304
F: 0.175 0.825 0.304
F: 0.350 0.175 0.696
F: 0.650 0.825 0.304
F: 0.825 0.175 0.696
F: 0.825 0.650 0.696

Properties
The density of states at the Fermi level is 9.65 states/eV/cell. The calculation puts the total magnetic moment at 0.333 μB/atom. Its crystal system is trigonal. The uncorrected formation energy is -1.6549 eV per atom.

***

A plane-wave DFT calculation with PBE was carried out for a geometry-optimized HoThZn2 structure.

Cell lengths 3.569, 3.569, 7.365 Å; angles 90.00, 90.00, 90.00 degrees
Sites, in units of the cell vectors:
Ho: 0.000 0.000 0.000
Th: 0.000 0.000 0.500
Zn: 0.500 0.500 0.230
Zn: 0.500 0.500 0.770

Properties
The density of states at the Fermi level is 4.10 states/eV/cell. The calculation puts the total magnetic moment at 0.000 μB/atom. Its crystal system is tetragonal. Its formation enthalpy at 0 K is -1.02 eV per formula unit.

***

A plane-wave DFT calculation with PBE was carried out for a geometry-optimized TmLu2Th structure.

Cell lengths 4.960, 4.960, 4.937 Å; angles 90.00, 90.00, 90.00 degrees
Sites, in units of the cell vectors:
Tm: 0.000 0.000 0.000
Lu: 0.000 0.500 0.500
Lu: 0.500 0.000 0.500
Th: 0.500 0.500 0.000

Properties
The energy above the lowest structure with this stoichiometry is 8.3 meV/atom. The density of states at the Fermi level is 6.83 states/eV/cell. The calculation puts the total magnetic moment at 0.000 μB/atom. Its crystal system is tetragonal. Its formation enthalpy at 0 K is 0.14 eV per formula unit.

***

A plane-wave DFT calculation with PBE was carried out for a geometry-optimized LaDyGe2 structure.

Cell lengths 4.074, 5.959, 8.249 Å; angles 90.00, 90.00, 90.00 degrees
Sites, in units of the cell vectors:
La: 0.000 0.132 0.000
La: 0.000 0.868 0.500
Dy: 0.500 0.370 0.637
Dy: 0.500 0.630 0.137
Ge: 0.000 0.394 0.358
Ge: 0.000 0.606 0.858
Ge: 0.500 0.119 0.281
Ge: 0.500 0.881 0.781

Properties
The density of states at the Fermi level is 5.74 states/eV/cell. The calculation puts the total magnetic moment at 0.000 μB/atom. Its crystal system is orthorhombic. Its formation enthalpy at 0 K is -3.30 eV per formula unit.

***

A plane-wave DFT calculation with PBE was carried out for a geometry-optimized La2Tb3Pt4 structure.

Cell lengths 7.662, 7.704, 8.021 Å; angles 90.00, 109.03, 90.00 degrees
Sites, in units of the cell vectors:
La: 0.199 0.177 0.089
La: 0.199 0.323 0.589
La: 0.801 0.677 0.411
La: 0.801 0.823 0.911
Tb: 0.245 0.663 0.250
Tb: 0.245 0.837 0.750
Tb: 0.500 0.000 0.500
Tb: 0.500 0.500 0.000
Tb: 0.755 0.163 0.250
Tb: 0.755 0.337 0.750
Pt: 0.094 0.538 0.868
Pt: 0.094 0.962 0.368
Pt: 0.499 0.134 0.873
Pt: 0.499 0.366 0.373
Pt: 0.501 0.634 0.627
Pt: 0.501 0.866 0.127
Pt: 0.906 0.038 0.632
Pt: 0.906 0.462 0.132

Properties
The density of states at the Fermi level is 11.59 states/eV/cell. The calculation puts the total magnetic moment at 0.000 μB/atom. Its crystal system is monoclinic. Its formation enthalpy at 0 K is -10.36 eV per formula unit.

***

A plane-wave DFT calculation with PBE was carried out for a geometry-optimized LiLa2PbS4 structure.

Cell lengths 7.157, 4.175, 7.165 Å; angles 90.00, 109.39, 90.00 degrees
Sites, in units of the cell vectors:
Li: 0.000 0.000 0.000
La: 0.000 0.500 0.500
La: 0.500 0.000 0.500
Pb: 0.500 0.500 0.000
S: 0.240 0.000 0.749
S: 0.245 0.500 0.251
S: 0.755 0.500 0.749
S: 0.760 0.000 0.251

Properties
The density of states at the Fermi level is 4.20 states/eV/cell. The calculation puts the total magnetic moment at 0.000 μB/atom. Its crystal system is monoclinic. The uncorrected formation energy is -1.5213 eV per atom.

***

A plane-wave DFT calculation with PBE was carried out for a geometry-optimized Mg2Co2Si structure.

Cell lengths 5.817, 5.817, 4.243 Å; angles 90.00, 90.00, 90.00 degrees
Sites, in units of the cell vectors:
Mg: 0.170 0.330 0.000
Mg: 0.330 0.830 0.000
Mg: 0.670 0.170 0.000
Mg: 0.830 0.670 0.000
Co: 0.140 0.640 0.500
Co: 0.360 0.140 0.500
Co: 0.640 0.860 0.500
Co: 0.860 0.360 0.500
Si: 0.000 0.000 0.500
Si: 0.500 0.500 0.500

Properties
The density of states at the Fermi level is 7.67 states/eV/cell. The calculation puts the total magnetic moment at 0.000 μB/atom. Its crystal system is tetragonal. The uncorrected formation energy is -0.2416 eV per atom.

***

A plane-wave DFT calculation with PBE was carried out for a geometry-optimized Mg2Al2Te structure.

Cell lengths 6.955, 6.955, 6.955 Å; angles 143.05, 143.05, 53.25 degrees
Sites, in units of the cell vectors:
Mg: 0.250 0.750 0.500
Mg: 0.750 0.250 0.500
Al: 0.099 0.099 0.000
Al: 0.901 0.901 0.000
Te: 0.500 0.500 0.000

Properties
The energy above the lowest structure with this stoichiometry is 109.3 meV/atom. The density of states at the Fermi level is 1.98 states/eV/cell. The calculation puts the total magnetic moment at 0.000 μB/atom. Its crystal system is tetragonal. The uncorrected formation energy is 0.1564 eV per atom.